DFT (GGA-PBE) results for a relaxed CdSiS2Cl crystal.

Results
Its uncorrected formation energy is -2.39 kcal/mol of atoms. The offset from the most stable computed form is 0 meV/atom.

```
CdSiS2Cl
1.0
4.632 0.000 0.000
0.000 4.632 0.000
0.000 0.000 4.648
Cd Si S Cl
1 1 2 1
Cartesian
0.000 0.000 0.000 Cd
2.316 2.316 2.324 Si
0.000 2.316 2.324 S
2.316 0.000 2.324 S
2.316 2.316 0.000 Cl
```